Record 1
DFT (SCAN) results for a PBEsol-optimized structure of Cu2ReHg.

space group	Pmmm
calculated formation energy	0.659	eV per atom

Cell lengths 2.7413, 4.5074, 4.7502 Å; angles 90.00, 90.00, 90.00 degrees
Element x y z (fractional)
Cu (0.0000, 0.0000, 0.0000)
Cu (0.5000, 0.0000, 0.5000)
Re (0.0000, 0.5000, 0.5000)
Hg (0.5000, 0.5000, 0.0000)

---

Record 2
DFT (SCAN) results for a PBEsol-optimized structure of CuHg3Rh.

space group	Pm-3m
calculated formation energy	0.782	eV per atom

Cell lengths 4.7603, 4.7603, 4.7603 Å; angles 90.00, 90.00, 90.00 degrees
Element x y z (fractional)
Cu (0.0000, 0.0000, 0.0000)
Hg (0.0000, 0.0000, 0.5000)
Hg (0.0000, 0.5000, 0.0000)
Hg (0.5000, 0.0000, 0.0000)
Rh (0.5000, 0.5000, 0.5000)

---

Record 3
DFT (SCAN) results for a PBEsol-optimized structure of CuHgRh.

space group	F-43m
calculated formation energy	0.460	eV per atom

Cell lengths 5.9992, 5.9992, 5.9992 Å; angles 90.00, 90.00, 90.00 degrees
Element x y z (fractional)
Cu (0.0000, 0.0000, 0.0000)
Cu (0.0000, 0.5000, 0.5000)
Cu (0.5000, 0.0000, 0.5000)
Cu (0.5000, 0.5000, 0.0000)
Hg (0.0000, 0.0000, 0.5000)
Hg (0.0000, 0.5000, 0.0000)
Hg (0.5000, 0.0000, 0.0000)
Hg (0.5000, 0.5000, 0.5000)
Rh (0.2500, 0.2500, 0.2500)
Rh (0.2500, 0.7500, 0.7500)
Rh (0.7500, 0.2500, 0.7500)
Rh (0.7500, 0.7500, 0.2500)

---

Record 4
DFT (SCAN) results for a PBEsol-optimized structure of Cu2HgRh.

space group	Imm2
calculated formation energy	0.151	eV per atom

Cell lengths 3.0667, 4.2655, 8.5251 Å; angles 90.00, 90.00, 90.00 degrees
Element x y z (fractional)
Cu (0.0000, 0.0000, 0.0000)
Cu (0.0000, 0.5000, 0.2757)
Cu (0.5000, 0.0000, 0.7757)
Cu (0.5000, 0.5000, 0.5000)
Hg (0.0000, 0.5000, 0.7529)
Hg (0.5000, 0.0000, 0.2529)
Rh (0.0000, 0.0000, 0.5236)
Rh (0.5000, 0.5000, 0.0236)

---

Record 5
DFT (SCAN) results for a PBEsol-optimized structure of Cu2HgRh.

space group	R-3m
calculated formation energy	0.254	eV per atom

Cell lengths 2.7772, 2.7772, 25.7740 Å; angles 90.00, 90.00, 120.00 degrees
Element x y z (fractional)
Cu (0.0000, 0.0000, 0.2450)
Cu (0.0000, 0.0000, 0.7550)
Cu (0.3333, 0.6667, 0.4217)
Cu (0.3333, 0.6667, 0.9117)
Cu (0.6667, 0.3333, 0.0883)
Cu (0.6667, 0.3333, 0.5783)
Hg (0.0000, 0.0000, 0.0000)
Hg (0.3333, 0.6667, 0.6667)
Hg (0.6667, 0.3333, 0.3333)
Rh (0.0000, 0.0000, 0.5000)
Rh (0.3333, 0.6667, 0.1667)
Rh (0.6667, 0.3333, 0.8333)

---

Record 6
DFT (SCAN) results for a PBEsol-optimized structure of YCuHg2Rh.

space group	P4/mmm
calculated formation energy	0.216	eV per atom

Cell lengths 5.1086, 5.1086, 4.9759 Å; angles 90.00, 90.00, 90.00 degrees
Element x y z (fractional)
Y (0.0000, 0.0000, 0.0000)
Cu (0.5000, 0.5000, 0.0000)
Hg (0.0000, 0.5000, 0.5000)
Hg (0.5000, 0.0000, 0.5000)
Rh (0.0000, 0.0000, 0.5000)